#1
# Li8Zn6Pd

A relaxed structure of Li8Zn6Pd (PBE, the Alexandria database).

```
Li8Zn6Pd
1.0
3.386 1.955 5.797
-3.386 1.955 5.797
0.000 -3.910 5.797
Li Zn Pd
8 6 1
direct
0.083 0.083 0.083
0.165 0.320 0.633
0.320 0.633 0.165
0.367 0.835 0.680
0.633 0.165 0.320
0.680 0.367 0.835
0.835 0.680 0.367
0.917 0.917 0.917
0.035 0.773 0.565
0.227 0.435 0.965
0.435 0.965 0.227
0.565 0.035 0.773
0.773 0.565 0.035
0.965 0.227 0.435
0.500 0.500 0.500
```

Results
**V**: 230.19 Å³/cell


#2
# Li8Zn6Pd

A relaxed structure of Li8Zn6Pd (PBE, the Alexandria database).

```
Li8Zn6Pd
1.0
3.940 2.275 4.582
-3.940 2.275 4.582
0.000 -4.550 4.582
Li Zn Pd
8 6 1
direct
0.112 0.112 0.112
0.212 0.216 0.570
0.216 0.570 0.212
0.430 0.788 0.784
0.570 0.212 0.216
0.784 0.430 0.788
0.788 0.784 0.430
0.888 0.888 0.888
0.166 0.501 0.833
0.167 0.834 0.499
0.499 0.167 0.834
0.501 0.833 0.166
0.833 0.166 0.501
0.834 0.499 0.167
0.500 0.500 0.500
```

Results
**V**: 246.46 Å³/cell


Verdict on stability: #1 comes out at the bottom.


#1
# Li4Zn2Pd3

A relaxed structure of Li4Zn2Pd3 (PBE, the Alexandria database).

```
Li4Zn2Pd3
1.0
5.854 -1.836 0.000
5.854 1.836 0.000
-2.213 0.000 5.978
Li Zn Pd
4 2 3
direct
0.049 0.049 0.334
0.281 0.281 0.672
0.719 0.719 0.328
0.951 0.951 0.666
0.164 0.164 0.997
0.836 0.836 0.003
0.382 0.382 0.325
0.500 0.500 0.000
0.618 0.618 0.675
```

Results
**V**: 128.53 Å³/cell


#2
# Li4Zn2Pd3

A relaxed structure of Li4Zn2Pd3 (PBE, the Alexandria database).

```
Li4Zn2Pd3
1.0
4.557 -2.101 0.000
4.557 2.101 0.000
-4.031 0.000 6.570
Li Zn Pd
4 2 3
direct
0.099 0.099 0.435
0.233 0.233 0.901
0.767 0.767 0.099
0.901 0.901 0.565
0.432 0.432 0.762
0.568 0.568 0.238
0.000 0.000 0.000
0.331 0.331 0.338
0.669 0.669 0.662
```

Results
**V**: 125.83 Å³/cell


Verdict on stability: #1 comes out at the bottom.


#1
# Li2ZnPd2

A relaxed structure of Li2ZnPd2 (PBE, the Alexandria database).

```
Li2ZnPd2
1.0
3.693 -2.145 0.000
3.693 2.145 0.000
-2.432 0.000 4.501
Li Zn Pd
2 1 2
direct
0.199 0.199 0.098
0.801 0.801 0.902
0.000 0.000 0.500
0.396 0.396 0.688
0.604 0.604 0.312
```

Results
**V**: 71.31 Å³/cell


#2
# Li2ZnPd2

A relaxed structure of Li2ZnPd2 (PBE, the Alexandria database).

```
Li2ZnPd2
1.0
-1.600 1.600 7.002
1.600 -1.600 7.002
1.600 1.600 -7.002
Li Zn Pd
2 1 2
direct
0.250 0.750 0.500
0.750 0.250 0.500
0.000 0.000 0.000
0.397 0.397 0.000
0.603 0.603 0.000
```

Results
**V**: 71.73 Å³/cell


#3
# Li2ZnPd2

A relaxed structure of Li2ZnPd2 (PBE, the Alexandria database).

```
Li2ZnPd2
1.0
-2.478 6.043 2.479
2.478 -6.043 2.479
2.478 6.043 -2.479
Li Zn Pd
4 2 4
direct
0.112 0.122 0.235
0.388 0.622 0.010
0.612 0.378 0.990
0.888 0.878 0.765
0.250 0.750 0.500
0.750 0.250 0.500
0.181 0.640 0.821
0.319 0.140 0.459
0.681 0.860 0.541
0.819 0.360 0.179
```

Results
**V**: 148.44 Å³/cell


#4
# Li2ZnPd2

A relaxed structure of Li2ZnPd2 (PBE, the Alexandria database).

```
Li2ZnPd2
1.0
6.824 0.000 0.000
0.000 6.824 0.000
0.000 0.000 2.919
Li Zn Pd
4 2 4
direct
0.120 0.380 0.000
0.380 0.880 0.000
0.620 0.120 0.000
0.880 0.620 0.000
0.000 0.000 0.000
0.500 0.500 0.000
0.182 0.682 0.500
0.318 0.182 0.500
0.682 0.818 0.500
0.818 0.318 0.500
```

Results
**V**: 135.92 Å³/cell


Verdict on stability: #2 comes out at the bottom.


#1
# Li4Zn2Pd

A relaxed structure of Li4Zn2Pd (PBE, the Alexandria database).

```
Li4Zn2Pd
1.0
-2.958 3.587 2.570
2.958 -3.587 2.570
2.958 3.587 -2.570
Li Zn Pd
4 2 1
direct
0.206 0.215 0.421
0.206 0.785 0.991
0.794 0.215 0.009
0.794 0.785 0.579
0.254 0.754 0.500
0.556 0.556 0.000
0.741 0.241 0.500
```

Results
**V**: 109.06 Å³/cell


#2
# Li4Zn2Pd

A relaxed structure of Li4Zn2Pd (PBE, the Alexandria database).

```
Li4Zn2Pd
1.0
-3.194 3.194 2.511
3.194 -3.194 2.511
3.194 3.194 -2.511
Li Zn Pd
4 2 1
direct
0.203 0.203 0.407
0.203 0.797 0.000
0.797 0.203 0.000
0.797 0.797 0.593
0.250 0.750 0.500
0.750 0.250 0.500
0.500 0.500 0.000
```

Results
**V**: 102.49 Å³/cell


Verdict on stability: #2 comes out at the bottom.


#1
# LiZn2Pd

A relaxed structure of LiZn2Pd (PBE, the Alexandria database).

```
LiZn2Pd
1.0
0.000 3.053 3.053
3.053 0.000 3.053
3.053 3.053 0.000
Li Zn Pd
1 2 1
direct
0.000 0.000 0.000
0.250 0.250 0.250
0.750 0.750 0.750
0.500 0.500 0.500
```

Results
**V**: 56.93 Å³/cell


#2
# LiZn2Pd

A relaxed structure of LiZn2Pd (PBE, the Alexandria database).

```
LiZn2Pd
1.0
-1.847 1.847 9.157
1.847 -1.847 9.157
1.847 1.847 -9.157
Li Zn Pd
2 4 2
direct
0.000 0.000 0.000
0.750 0.250 0.500
0.132 0.625 0.007
0.375 0.382 0.507
0.618 0.125 0.993
0.875 0.868 0.493
0.250 0.750 0.500
0.500 0.500 0.000
```

Results
**V**: 124.91 Å³/cell


Verdict on stability: #2 comes out at the bottom.